# CoHgMoO2 PBE with a Hubbard U relaxed
data_CoHgMoO2
_cell_length_a 3.8979
_cell_length_b 3.8979
_cell_length_c 5.2503
_cell_angle_alpha 90.00
_cell_angle_beta 90.00
_cell_angle_gamma 90.00
_space_group_name_H-M_alt 'P 4/m m m'
_space_group_IT_number 123
_space_group_name_Hall '-P 4 2'
loop_
_atom_site_label
_atom_site_type_symbol
_atom_site_fract_x
_atom_site_fract_y
_atom_site_fract_z
Co1 Co 0.0000 0.0000 0.0000
Hg1 Hg 0.5000 0.5000 0.5000
Mo1 Mo 0.0000 0.0000 0.5000
O1 O 0.0000 0.5000 0.0000
# - V: 16.0 Å³ per atom
# - E: -0.1505 Ha/atom